# 1
# BaCr2Pt (PBE, optimized geometry)
# * Fermi-level density of states: 11.7 states/eV/cell
# * E_tot: -50.1 eV for the cell shown
# * density: 7.069 Mg/m³
# * symmetry: Imm2, No. 44
# * energy of formation from the pure elements: 534 meV per atom
data_BaCr2Pt
_chemical_formula_sum 'Ba2 Cr4 Pt2'
_symmetry_space_group_name_H-M 'P 1'
_symmetry_Int_Tables_number 1
_cell_length_a 3.4047
_cell_length_b 4.2099
_cell_length_c 14.3051
_cell_angle_alpha 90.00
_cell_angle_beta 90.00
_cell_angle_gamma 90.00
loop_
_symmetry_equiv_pos_as_xyz
'x,y,z'
loop_
_atom_site_label
_atom_site_type_symbol
_atom_site_fract_x
_atom_site_fract_y
_atom_site_fract_z
_atom_site_occupancy
Ba1 Ba 0.0000 0.0000 0.0000 1
Ba2 Ba 0.5000 0.5000 0.5000 1
Cr1 Cr 0.0000 0.0000 0.6614 1
Cr2 Cr 0.0000 0.5000 0.8003 1
Cr3 Cr 0.5000 0.0000 0.3003 1
Cr4 Cr 0.5000 0.5000 0.1614 1
Pt1 Pt 0.0000 0.5000 0.3001 1
Pt2 Pt 0.5000 0.0000 0.8001 1

***

# 2
# Ba2CrPt (PBE, optimized geometry)
# * Fermi-level density of states: 6.7 states/eV/cell
# * E_tot: -60.5 eV for the cell shown
# * density: 5.687 Mg/m³
# * symmetry: R3m, No. 160
# * energy of formation from the pure elements: -163 meV per atom
data_Ba2CrPt
_chemical_formula_sum 'Ba6 Cr3 Pt3'
_symmetry_space_group_name_H-M 'P 1'
_symmetry_Int_Tables_number 1
_cell_length_a 4.4911
_cell_length_b 4.4911
_cell_length_c 26.1619
_cell_angle_alpha 90.00
_cell_angle_beta 90.00
_cell_angle_gamma 120.00
loop_
_symmetry_equiv_pos_as_xyz
'x,y,z'
loop_
_atom_site_label
_atom_site_type_symbol
_atom_site_fract_x
_atom_site_fract_y
_atom_site_fract_z
_atom_site_occupancy
Ba1 Ba 0.0000 0.0000 0.0000 1
Ba2 Ba 0.0000 0.0000 0.1735 1
Ba3 Ba 0.3333 0.6667 0.6667 1
Ba4 Ba 0.3333 0.6667 0.8402 1
Ba5 Ba 0.6667 0.3333 0.3333 1
Ba6 Ba 0.6667 0.3333 0.5068 1
Cr1 Cr 0.0000 0.0000 0.4199 1
Cr2 Cr 0.3333 0.6667 0.0866 1
Cr3 Cr 0.6667 0.3333 0.7533 1
Pt1 Pt 0.0000 0.0000 0.7537 1
Pt2 Pt 0.3333 0.6667 0.4204 1
Pt3 Pt 0.6667 0.3333 0.0870 1